No. 1
Here is an optimized crystal structure of NaMg3Pb4 from Alexandria. Energies are from PBE.

Properties
- crystal system = orthorhombic
- formation energy from the elements (eV per atom) = -0.0928
- mass density (kg/m³) = 7199
- SG = No. 51

Cell: 10.740 7.391 5.374 Å, 90.00 90.00 90.00°
Atoms (fractional coordinates):
Na 0.000 0.000 0.000
Na 0.500 0.000 0.000
Mg 0.000 0.500 0.000
Mg 0.250 0.000 0.490
Mg 0.250 0.500 0.490
Mg 0.500 0.500 0.000
Mg 0.750 0.000 0.510
Mg 0.750 0.500 0.510
Pb 0.000 0.259 0.500
Pb 0.000 0.741 0.500
Pb 0.250 0.259 0.991
Pb 0.250 0.741 0.991
Pb 0.500 0.259 0.500
Pb 0.500 0.741 0.500
Pb 0.750 0.259 0.009
Pb 0.750 0.741 0.009

---

No. 2
Here is an optimized crystal structure of CuSn2Br from Alexandria. Energies are from PBE.

Properties
- crystal system = cubic
- formation energy from raw total energies (kJ per mole of atoms) = 26.6
- mass density (kg/m³) = 6663
- SG = No. 225

Cell: 5.120 5.120 5.120 Å, 60.00 60.00 60.00°
Atoms (fractional coordinates):
Cu 0.000 0.000 0.000
Sn 0.250 0.250 0.250
Sn 0.750 0.750 0.750
Br 0.500 0.500 0.500

---

No. 3
Here is an optimized crystal structure of CaPbCl from Alexandria. Energies are from PBE.

Properties
- crystal system = hexagonal
- formation energy from raw total energies (kJ per mole of atoms) = -76.3
- mass density (kg/m³) = 4704
- SG = No. 187

Cell: 4.566 4.566 5.528 Å, 90.00 90.00 120.00°
Atoms (fractional coordinates):
Ca 0.000 0.000 0.000
Pb 0.333 0.667 0.500
Cl 0.667 0.333 0.000

---

No. 4
Here is an optimized crystal structure of Na2TlAuCl6 from Alexandria. Energies are from PBE.

Properties
- crystal system = triclinic
- formation energy from raw total energies (kJ per mole of atoms) = -96.8
- mass density (kg/m³) = 3742
- SG = No. 1

Cell: 6.901 7.247 7.406 Å, 102.02 104.71 117.80°
Atoms (fractional coordinates):
Na 0.000 0.000 0.000
Na 0.087 0.451 0.593
Tl 0.643 0.336 0.998
Au 0.635 0.820 0.474
Cl 0.054 0.405 0.205
Cl 0.214 0.191 0.752
Cl 0.473 0.143 0.219
Cl 0.529 0.884 0.742
Cl 0.758 0.759 0.218
Cl 0.829 0.542 0.783